# Ba5Rh2Cl | Alexandria | PBE | optimized geometry
data_Ba5Rh2Cl
_symmetry_space_group_name_H-M 'C m c m'
_symmetry_Int_Tables_number 63
_symmetry_space_group_name_Hall '-C 2c 2'
_cell_length_a 6.2928
_cell_length_b 14.4723
_cell_length_c 15.4154
_cell_angle_alpha 90.00
_cell_angle_beta 90.00
_cell_angle_gamma 90.00
loop_
_atom_site_label
_atom_site_fract_x
_atom_site_fract_y
_atom_site_fract_z
_atom_site_occupancy
Ba1 0.0000 0.0515 0.1158 1
Ba2 0.0000 0.2241 0.7500 1
Ba3 0.0000 0.3370 0.0552 1
Rh1 0.0000 0.1501 0.5578 1
Cl1 0.0000 0.2336 0.2500 1
# Magnetic moment: 0.00 μB/f.u.
# Uncorrected formation energy: -0.55 eV per atom